BeBi3Rh after structural relaxation, computed with PBE-GGA.

Lattice parameters (Å, degrees): 5.306 5.306 5.306 90.00 90.00 90.00
Element x y z (fractional)
Be1 0.000 0.000 0.000
Bi1 0.000 0.500 0.500
Bi2 0.500 0.000 0.500
Bi3 0.500 0.500 0.000
Rh1 0.500 0.500 0.500

Excess energy over the best structure of this formula in the dataset   65 meV/atom
Formation energy from the elements   0.7819 eV/atom
Symmetry   Pm-3m (221)